{
  "formula": "CdGeTe2",
  "functional": "PBE",
  "state": "optimized geometry",
  "cell": [[2.291, 1.323, 8.264], [-2.291, 1.323, 8.264], [0.000, -2.645, 8.264]],
  "species": ["Cd", "Ge", "Te", "Te"],
  "fractional_positions": [[0.000, 0.000, 0.000], [0.500, 0.500, 0.500], [0.107, 0.107, 0.107], [0.893, 0.893, 0.893]],
  "dft_energy_ry_per_atom": -0.21510,
  "crystal_system": "trigonal",
  "total_magnetization_mub_per_atom": 0.000
}

=====

{
  "formula": "Tb3Y6Er2Zr",
  "functional": "PBE",
  "state": "optimized geometry",
  "cell": [[3.053, -5.279, 0.000], [3.053, 5.279, 0.000], [-2.020, 0.000, 11.486]],
  "species": ["Tb", "Tb", "Tb", "Y", "Y", "Y", "Y", "Y", "Y", "Er", "Er", "Zr"],
  "fractional_positions": [[0.000, 0.000, 0.000], [0.333, 0.667, 0.000], [0.667, 0.333, 0.000], [0.092, 0.419, 0.256], [0.254, 0.254, 0.743], [0.419, 0.092, 0.256], [0.581, 0.908, 0.744], [0.746, 0.746, 0.257], [0.908, 0.581, 0.744], [0.167, 0.833, 0.500], [0.833, 0.167, 0.500], [0.500, 0.500, 0.500]],
  "dft_energy_ry_per_atom": -0.42737,
  "crystal_system": "monoclinic",
  "total_magnetization_mub_per_atom": 0.000,
  "formation_enthalpy_0k_ev_per_atom": 0.05
}

=====

Please write out number 2 again, unchanged.
{
  "formula": "Tb3Y6Er2Zr",
  "functional": "PBE",
  "state": "optimized geometry",
  "cell": [[3.053, -5.279, 0.000], [3.053, 5.279, 0.000], [-2.020, 0.000, 11.486]],
  "species": ["Tb", "Tb", "Tb", "Y", "Y", "Y", "Y", "Y", "Y", "Er", "Er", "Zr"],
  "fractional_positions": [[0.000, 0.000, 0.000], [0.333, 0.667, 0.000], [0.667, 0.333, 0.000], [0.092, 0.419, 0.256], [0.254, 0.254, 0.743], [0.419, 0.092, 0.256], [0.581, 0.908, 0.744], [0.746, 0.746, 0.257], [0.908, 0.581, 0.744], [0.167, 0.833, 0.500], [0.833, 0.167, 0.500], [0.500, 0.500, 0.500]],
  "dft_energy_ry_per_atom": -0.42737,
  "crystal_system": "monoclinic",
  "total_magnetization_mub_per_atom": 0.000,
  "formation_enthalpy_0k_ev_per_atom": 0.05
}

=====

Please write out number 2 again, unchanged.
{
  "formula": "Tb3Y6Er2Zr",
  "functional": "PBE",
  "state": "optimized geometry",
  "cell": [[3.053, -5.279, 0.000], [3.053, 5.279, 0.000], [-2.020, 0.000, 11.486]],
  "species": ["Tb", "Tb", "Tb", "Y", "Y", "Y", "Y", "Y", "Y", "Er", "Er", "Zr"],
  "fractional_positions": [[0.000, 0.000, 0.000], [0.333, 0.667, 0.000], [0.667, 0.333, 0.000], [0.092, 0.419, 0.256], [0.254, 0.254, 0.743], [0.419, 0.092, 0.256], [0.581, 0.908, 0.744], [0.746, 0.746, 0.257], [0.908, 0.581, 0.744], [0.167, 0.833, 0.500], [0.833, 0.167, 0.500], [0.500, 0.500, 0.500]],
  "dft_energy_ry_per_atom": -0.42737,
  "crystal_system": "monoclinic",
  "total_magnetization_mub_per_atom": 0.000,
  "formation_enthalpy_0k_ev_per_atom": 0.05
}